CsBaSr2P after structural relaxation. Source: Alexandria via LeMat-Bulk, functional PBE-GGA.

a = 6.2140 Å, b = 6.5772 Å, c = 6.2140 Å
α = 90.00°, β = 90.00°, γ = 90.00°
Atoms (fractional coordinates):
Sr  0.0000  0.0000  0.5000
Ba  0.0000  0.5000  0.0000
Sr  0.5000  0.0000  0.0000
Cs  0.5000  0.5000  0.5000
P  0.0000  0.0000  0.0000

Mass density ... 3.1 Mg/m³
N(E_F) ... 4.43 states/eV per cell
Uncorrected energy ... -2.6643 eV per atom
Total magnetic moment ... 0.000 μB per atom